[1]
The following is a DFT calculation (PBEsol) of a relaxed CrCoS2 crystal.

a b c (Å): 4.0078 4.0078 4.0078
angles (deg): 60.00 60.00 60.00
Last column: magnetic moment on the atom in μB.
Fractional positions:
1 Co 0.5000 0.5000 0.5000  0.67
2 Cr 0.0000 0.0000 0.0000  1.01
3 S 0.7500 0.7500 0.7500  0.02
4 S 0.2500 0.2500 0.2500  0.02

Energy relative to the elements, uncorrected   -0.076 eV per atom
Energy above the most stable polymorph in this dataset   0 meV/atom
Uncorrected energy   -6.76 eV/atom

[2]
The following is a DFT calculation (PBEsol) of a relaxed LiAl3 crystal.

a b c (Å): 4.8380 5.7349 9.2842
angles (deg): 90.00 90.00 90.00
Fractional positions:
1 Al 0.2505 0.6228 0.0021
2 Al 0.0977 0.8723 0.7500
3 Al 0.5977 0.6277 0.7500
4 Al 0.2505 0.6228 0.4979
5 Al 0.2495 0.1228 0.9979
6 Al 0.7505 0.8772 0.0021
7 Al 0.2495 0.1228 0.5021
8 Al 0.7505 0.8772 0.4979
9 Al 0.4023 0.3723 0.2500
10 Al 0.9023 0.1277 0.2500
11 Al 0.7495 0.3772 0.5021
12 Al 0.7495 0.3772 0.9979
13 Li 0.5953 0.1265 0.7500
14 Li 0.4047 0.8735 0.2500
15 Li 0.0953 0.3735 0.7500
16 Li 0.9047 0.6265 0.2500

ΔE_f   -0.050 eV/atom
Uncorrected energy   -3.61 eV/atom

[3]
The following is a DFT calculation (PBEsol) of a relaxed La2OsAu crystal.

a b c (Å): 4.1869 4.1869 7.4166
angles (deg): 73.60 73.60 60.00
Fractional positions:
1 La 0.2615 0.2615 0.2156
2 La 0.7385 0.7385 0.7844
3 Au 0.5000 0.5000 0.5000
4 Os 0.0000 0.0000 0.0000

ΔE_f   -0.209 eV/atom
Uncorrected energy   -6.92 eV/atom

[4]
The following is a DFT calculation (PBEsol) of a relaxed La3Sc crystal.

a b c (Å): 4.9712 4.9712 10.6403
angles (deg): 103.51 103.51 90.00
Fractional positions:
1 La 0.1266 0.1266 0.2532
2 La 0.0000 0.5000 0.0000
3 La 0.5000 0.0000 0.0000
4 La 0.7500 0.2500 0.5000
5 La 0.2500 0.7500 0.5000
6 La 0.8734 0.8734 0.7468
7 Sc 0.6253 0.6253 0.2506
8 Sc 0.3747 0.3747 0.7494

ΔE_f   0.032 eV/atom
Uncorrected energy   -5.63 eV/atom

[5]
The following is a DFT calculation (PBEsol) of a relaxed PtRh2W crystal.

a b c (Å): 3.7875 3.8798 3.8798
angles (deg): 90.00 90.00 90.00
Fractional positions:
1 Pt 0.5000 0.0000 0.0000
2 W 0.5000 0.5000 0.5000
3 Rh 0.0000 0.0000 0.5000
4 Rh 0.0000 0.5000 0.0000

ΔE_f   -0.219 eV/atom
Energy above the most stable polymorph in this dataset   38 meV/atom
Uncorrected energy   -9.48 eV/atom

[6]
The following is a DFT calculation (PBEsol) of a relaxed BaRhAu2 crystal.

a b c (Å): 3.8878 3.8676 6.2617
angles (deg): 90.00 90.00 90.00
Fractional positions:
1 Au 0.0000 0.5000 0.7875
2 Au 0.0000 0.0000 0.1099
3 Ba 0.5000 0.0000 0.5225
4 Rh 0.5000 0.5000 0.0801

ΔE_f   0.000 eV/atom
Uncorrected energy   -4.53 eV/atom

[7]
The following is a DFT calculation (PBEsol) of a relaxed MnPRh2 crystal.

a b c (Å): 2.7426 2.7426 6.3891
angles (deg): 90.00 90.00 90.00
Fractional positions:
1 Rh 0.5000 0.5000 0.2724
2 Rh 0.0000 0.0000 0.9583
3 Mn 0.0000 0.0000 0.5392
4 P 0.5000 0.5000 0.7300

ΔE_f   -0.276 eV/atom
Uncorrected energy   -8.23 eV/atom

[8]
The following is a DFT calculation (PBEsol) of a relaxed RbTmP2O7 crystal.

a b c (Å): 7.7056 8.6528 10.8187
angles (deg): 90.00 90.00 105.95
Fractional positions:
1 O 0.9947 0.2806 0.0013
2 O 0.6220 0.2321 0.5773
3 O 0.1428 0.4962 0.5923
4 O 0.5509 0.7658 0.2264
5 O 0.5509 0.2658 0.2736
6 O 0.3780 0.7679 0.4227
7 O 0.6703 0.6975 0.4325
8 O 0.3270 0.0160 0.6106
9 O 0.0053 0.7194 0.9987
10 O 0.8572 0.5038 0.4077
11 O 0.9947 0.7806 0.4987
12 O 0.3270 0.5160 0.8894
13 O 0.3297 0.8025 0.9325
14 O 0.0773 0.7494 0.7710
15 O 0.0053 0.2194 0.5013
16 O 0.4491 0.7342 0.7264
17 O 0.6703 0.1975 0.0675
18 O 0.4491 0.2342 0.7736
19 O 0.6220 0.7321 0.9227
20 O 0.8572 0.0038 0.0923
21 O 0.3297 0.3025 0.5675
22 O 0.6730 0.9840 0.3894
23 O 0.6730 0.4840 0.1106
24 O 0.9227 0.7506 0.2710
25 O 0.3780 0.2679 0.0773
26 O 0.0773 0.2494 0.7290
27 O 0.1428 0.9962 0.9077
28 O 0.9227 0.2506 0.2290
29 Rb 0.1838 0.5623 0.1773
30 Rb 0.8162 0.9377 0.6773
31 Rb 0.8162 0.4377 0.8227
32 Rb 0.1838 0.0623 0.3227
33 P 0.1300 0.8191 0.9003
34 P 0.8700 0.1809 0.0997
35 P 0.5644 0.3118 0.1370
36 P 0.4356 0.1882 0.6370
37 P 0.4356 0.6882 0.8630
38 P 0.5644 0.8118 0.3630
39 P 0.8700 0.6809 0.4003
40 P 0.1300 0.3191 0.5997
41 Tm 0.7654 0.7460 0.0981
42 Tm 0.2346 0.7540 0.5981
43 Tm 0.7654 0.2460 0.4019
44 Tm 0.2346 0.2540 0.9019

Energy relative to the elements, uncorrected   -2.736 eV per atom
Uncorrected energy   -7.67 eV/atom

[9]
The following is a DFT calculation (PBEsol) of a relaxed BaZrCo crystal.

a b c (Å): 4.6164 4.6164 4.6164
angles (deg): 60.00 60.00 60.00
Fractional positions:
1 Co 0.5000 0.5000 0.5000
2 Zr 0.2500 0.2500 0.2500
3 Ba 0.0000 0.0000 0.0000

ΔE_f   1.044 eV/atom
Uncorrected energy   -5.28 eV/atom

[10]
The following is a DFT calculation (PBEsol) of a relaxed Al3InAu crystal.

a b c (Å): 4.8649 4.8649 4.8649
angles (deg): 90.00 90.00 90.00
Fractional positions:
1 Au 0.0000 0.0000 0.0000
2 Al 0.0000 0.5000 0.0000
3 Al 0.0000 0.0000 0.5000
4 Al 0.5000 0.0000 0.0000
5 In 0.5000 0.5000 0.5000

ΔE_f   0.216 eV/atom
Uncorrected energy   -3.62 eV/atom

[11]
The following is a DFT calculation (PBEsol) of a relaxed MgZn2Pb crystal.

a b c (Å): 3.2970 4.9499 5.4211
angles (deg): 100.57 90.00 109.45
Fractional positions:
1 Pb 0.0000 0.0000 0.5000
2 Mg 0.5000 0.0000 0.0000
3 Zn 0.7559 0.5118 0.8050
4 Zn 0.2441 0.4882 0.1950

ΔE_f   0.094 eV/atom
Energy above the most stable polymorph in this dataset   0 meV/atom
Uncorrected energy   -2.13 eV/atom

[12]
The following is a DFT calculation (PBEsol) of a relaxed MgOs3Se crystal.

a b c (Å): 4.4506 4.4506 4.4506
angles (deg): 90.00 90.00 90.00
Last column: magnetic moment on the atom in μB.
Fractional positions:
1 Os 0.0000 0.0000 0.5000  0.08
2 Os 0.0000 0.5000 0.0000  0.08
3 Os 0.5000 0.0000 0.0000  0.08
4 Mg 0.0000 0.0000 0.0000  0.00
5 Se 0.5000 0.5000 0.5000  -0.01

Energy relative to the elements, uncorrected   2.644 eV per atom
Uncorrected energy   -5.80 eV/atom